Computed, not measured: an optimized crystal structure of KSc2Pt at the PBE level of DFT.

Electronic total energy: -4.57 eV/atom
Formation enthalpy at 0 K: 37.2 kJ/mol of atoms
Distance to the lowest polymorph of the same formula: 757.6 meV per atom

abc: 3.2007 3.2007 35.1729
angles: 90.00 90.00 120.00
Space group R-3m (No. 166, hexagonal axes)
Symmetry-distinct sites (fractional):
K 0.0000 0.0000 0.0000
Sc 0.0000 0.0000 0.4291
Pt 0.0000 0.0000 0.5000



Computed, not measured: an optimized crystal structure of BSb2TeO at the PBE level of DFT.

Electronic total energy: -3.74 eV/atom
E_form (uncorrected): 4.32 eV/f.u.
Distance to the lowest polymorph of the same formula: 0.0 meV per atom

abc: 4.650 4.650 5.037
angles: 90.00 90.00 90.00
Space group P4/mmm (No. 123)
Symmetry-distinct sites (fractional):
B 0.000 0.000 0.000
Sb 0.000 0.500 0.500
Te 0.500 0.500 0.000
O 0.500 0.500 0.500



Computed, not measured: an optimized crystal structure of NaTlIn3 at the PBE level of DFT.

Electronic total energy: -2.37 eV/atom
Formation enthalpy at 0 K: 0.5 kJ/mol of atoms
Distance to the lowest polymorph of the same formula: 47.2 meV per atom

abc: 6.207 16.244 6.029
angles: 90.00 90.00 90.00
Space group Cmcm (No. 63)
Symmetry-distinct sites (fractional):
Na 0.000 0.183 0.250
Tl 0.000 0.437 0.750
In 0.000 0.000 0.000
In 0.247 0.357 0.250



Computed, not measured: an optimized crystal structure of Ce4RuS2Cl at the PBE level of DFT.

Electronic total energy: -6.80 eV/atom
E_form (uncorrected): -11.31 eV/f.u.

abc: 7.052 3.950 7.075
angles: 90.00 108.25 90.00
Space group P2/m (No. 10)
Symmetry-distinct sites (fractional):
Ce 0.237 0.000 0.245
Ce 0.239 0.500 0.747
Ru 0.000 0.000 0.500
S 0.000 0.500 0.000
S 0.500 0.000 0.000
Cl 0.500 0.500 0.500



Computed, not measured: an optimized crystal structure of Sc3InSn3 at the PBE level of DFT.

Electronic total energy: -5.17 eV/atom
Formation enthalpy at 0 K: -33.8 kJ/mol of atoms

abc: 8.3651 8.3651 5.4669
angles: 90.00 90.00 120.00
Space group P6_3/m (No. 176)
Symmetry-distinct sites (fractional):
Sc 0.0943 0.4522 0.2500
In 0.3333 0.6667 0.7500
Sn 0.0506 0.2566 0.7500



Computed, not measured: an optimized crystal structure of In6GaBi4 at the PBE level of DFT.

Electronic total energy: -3.10 eV/atom
Formation enthalpy at 0 K: 7.4 kJ/mol of atoms

abc: 10.6221 10.6221 3.4596
angles: 90.00 90.00 120.00
Space group P-6m2 (No. 187)
Symmetry-distinct sites (fractional):
In 0.0226 0.5113 0.0000
In 0.1424 0.2849 0.5000
Ga 0.6667 0.3333 0.5000
Bi 0.3333 0.6667 0.5000
Bi 0.3354 0.1677 0.0000



Computed, not measured: an optimized crystal structure of TaSi2S at the PBE level of DFT.

Electronic total energy: -6.13 eV/atom
E_form (uncorrected): 2.31 eV/f.u.

abc: 6.149 6.149 8.030
angles: 90.00 90.00 90.00
Space group I-42d (No. 122)
Symmetry-distinct sites (fractional):
Ta 0.000 0.000 0.000
Si 0.211 0.750 0.625
S 0.000 0.000 0.500



Computed, not measured: an optimized crystal structure of K2Tl2I7 at the PBE level of DFT.

Electronic total energy: -2.33 eV/atom
E_form (uncorrected): -7.82 eV/f.u.

abc: 7.209 18.148 9.459
angles: 90.00 98.58 90.00
Space group P2_1/c (No. 14)
Symmetry-distinct sites (fractional):
K 0.142 0.144 0.408
Tl 0.324 0.619 0.654
I 0.006 0.682 0.463
I 0.187 0.550 0.901
I 0.406 0.230 0.712
I 0.500 0.000 0.000



Computed, not measured: an optimized crystal structure of SmYPd4 at the PBE level of DFT.

Electronic total energy: -6.18 eV/atom
Formation enthalpy at 0 K: -82.2 kJ/mol of atoms
Distance to the lowest polymorph of the same formula: 0.0 meV per atom

abc: 4.227 19.586 5.815
angles: 90.00 90.00 90.00
Space group Cmcm (No. 63)
Symmetry-distinct sites (fractional):
Sm 0.000 0.224 0.250
Y 0.000 0.077 0.750
Pd 0.000 0.073 0.250
Pd 0.000 0.354 0.510
Pd 0.000 0.500 0.000



Computed, not measured: an optimized crystal structure of Pm4URu4 at the PBE level of DFT.

Electronic total energy: -7.71 eV/atom
Formation enthalpy at 0 K: -21.4 kJ/mol of atoms

abc: 8.646 8.646 5.903
angles: 90.00 90.00 90.00
Space group P4_2/n (No. 86, origin choice 2)
Symmetry-distinct sites (fractional):
Pm 0.052 0.822 0.139
U 0.250 0.250 0.250
Ru 0.012 0.135 0.370



Computed, not measured: an optimized crystal structure of Pu4PPtBr2 at the PBE level of DFT.

Electronic total energy: -9.92 eV/atom
E_form (uncorrected): -7.22 eV/f.u.

abc: 7.311 4.030 7.511
angles: 90.00 107.97 90.00
Space group P2/m (No. 10)
Symmetry-distinct sites (fractional):
Pu 0.235 0.000 0.212
Pu 0.255 0.500 0.789
P 0.000 0.500 0.000
Pt 0.500 0.000 0.000
Br 0.000 0.000 0.500
Br 0.500 0.500 0.500



Computed, not measured: an optimized crystal structure of LaNiB at the PBE level of DFT.

Electronic total energy: -5.87 eV/atom
Formation enthalpy at 0 K: -7.6 kJ/mol of atoms
Distance to the lowest polymorph of the same formula: 126.6 meV per atom

abc: 5.938 5.557 3.839
angles: 90.00 116.04 90.00
Space group Cm (No. 8)
Symmetry-distinct sites (fractional):
La 0.000 0.000 0.000
Ni 0.491 0.000 0.622
B 0.026 0.500 0.150